1.
The following is a PBE calculation of an optimized crystal structure of NbRu2W, from Alexandria.

a = 4.095 Å, b = 4.095 Å, c = 3.709 Å
α = 90.00°, β = 90.00°, γ = 90.00°
Sites, in units of the cell vectors:
Nb 0.000 0.000 0.000
Ru 0.000 0.500 0.500
Ru 0.500 0.000 0.500
W 0.500 0.500 0.000

Values from the calculation:
**D(E_F)**: 4.34 states/eV per cell
**DFT formation energy**: -16 meV/atom
**DFT total energy**: -10.4098 eV/atom
**Total magnetization**: 0.0 μB per cell
**Energy above the most stable polymorph in this dataset**: 21.5 meV per atom

2.
The following is a PBE calculation of an optimized crystal structure of NbRu2W, from Alexandria.

a = 2.919 Å, b = 2.919 Å, c = 7.360 Å
α = 90.00°, β = 90.00°, γ = 90.00°
Sites, in units of the cell vectors:
Nb 0.000 0.000 0.000
Ru 0.500 0.500 0.270
Ru 0.500 0.500 0.730
W 0.000 0.000 0.500

Values from the calculation:
**D(E_F)**: 4.66 states/eV per cell
**DFT formation energy**: -38 meV/atom
**DFT total energy**: -10.4313 eV/atom
**Total magnetization**: 0.0 μB per cell
**Energy above the most stable polymorph in this dataset**: 0.0 meV per atom

3.
The following is a PBE calculation of an optimized crystal structure of Nb2RuW, from Alexandria.

a = 7.276 Å, b = 7.276 Å, c = 5.372 Å
α = 90.00°, β = 90.00°, γ = 90.00°
Sites, in units of the cell vectors:
Nb 0.237 0.250 0.125
Nb 0.250 0.737 0.375
Nb 0.250 0.763 0.875
Nb 0.263 0.250 0.625
Nb 0.737 0.750 0.625
Nb 0.750 0.237 0.875
Nb 0.750 0.263 0.375
Nb 0.763 0.750 0.125
Ru 0.000 0.000 0.000
Ru 0.000 0.500 0.250
Ru 0.500 0.000 0.750
Ru 0.500 0.500 0.500
W 0.000 0.000 0.500
W 0.000 0.500 0.750
W 0.500 0.000 0.250
W 0.500 0.500 0.000

Values from the calculation:
**D(E_F)**: 20.83 states/eV per cell
**DFT formation energy**: 573 meV/atom
**DFT total energy**: -10.0194 eV/atom
**Total magnetization**: 0.0 μB per cell
**Energy above the most stable polymorph in this dataset**: 752.8 meV per atom

4.
The following is a PBE calculation of an optimized crystal structure of Nb3RuW, from Alexandria.

a = 8.460 Å, b = 8.460 Å, c = 4.554 Å
α = 90.00°, β = 90.00°, γ = 148.77°
Sites, in units of the cell vectors:
Nb 0.053 0.947 0.750
Nb 0.250 0.750 0.750
Nb 0.446 0.554 0.750
Nb 0.554 0.446 0.250
Nb 0.750 0.250 0.250
Nb 0.947 0.053 0.250
Ru 0.350 0.650 0.250
Ru 0.650 0.350 0.750
W 0.151 0.849 0.250
W 0.849 0.151 0.750

Values from the calculation:
**D(E_F)**: 4.45 states/eV per cell
**DFT formation energy**: -169 meV/atom
**DFT total energy**: -10.6562 eV/atom
**Total magnetization**: 0.0 μB per cell
**Energy above the most stable polymorph in this dataset**: 0.0 meV per atom

5.
The following is a PBE calculation of an optimized crystal structure of NbRu2W, from Alexandria.

a = 6.308 Å, b = 6.308 Å, c = 6.308 Å
α = 90.00°, β = 90.00°, γ = 90.00°
Sites, in units of the cell vectors:
Nb 0.000 0.000 0.000
Nb 0.000 0.500 0.500
Nb 0.500 0.000 0.500
Nb 0.500 0.500 0.000
Ru 0.250 0.250 0.250
Ru 0.250 0.250 0.750
Ru 0.250 0.750 0.250
Ru 0.250 0.750 0.750
Ru 0.750 0.250 0.250
Ru 0.750 0.250 0.750
Ru 0.750 0.750 0.250
Ru 0.750 0.750 0.750
W 0.000 0.000 0.500
W 0.000 0.500 0.000
W 0.500 0.000 0.000
W 0.500 0.500 0.500

Values from the calculation:
**D(E_F)**: 30.17 states/eV per cell
**DFT formation energy**: 117 meV/atom
**DFT total energy**: -10.2771 eV/atom
**Total magnetization**: 5.0 μB per cell
**Energy above the most stable polymorph in this dataset**: 154.2 meV per atom

6.
The following is a PBE calculation of an optimized crystal structure of Nb2RuW, from Alexandria.

a = 6.424 Å, b = 6.424 Å, c = 6.424 Å
α = 90.00°, β = 90.00°, γ = 90.00°
Sites, in units of the cell vectors:
Nb 0.250 0.250 0.250
Nb 0.250 0.250 0.750
Nb 0.250 0.750 0.250
Nb 0.250 0.750 0.750
Nb 0.750 0.250 0.250
Nb 0.750 0.250 0.750
Nb 0.750 0.750 0.250
Nb 0.750 0.750 0.750
Ru 0.000 0.000 0.000
Ru 0.000 0.500 0.500
Ru 0.500 0.000 0.500
Ru 0.500 0.500 0.000
W 0.000 0.000 0.500
W 0.000 0.500 0.000
W 0.500 0.000 0.000
W 0.500 0.500 0.500

Values from the calculation:
**D(E_F)**: 9.90 states/eV per cell
**DFT formation energy**: -161 meV/atom
**DFT total energy**: -10.7534 eV/atom
**Total magnetization**: 0.0 μB per cell
**Energy above the most stable polymorph in this dataset**: 18.9 meV per atom

7.
The following is a PBE calculation of an optimized crystal structure of Nb6RuW2, from Alexandria.

a = 4.581 Å, b = 4.581 Å, c = 8.480 Å
α = 90.00°, β = 90.00°, γ = 120.00°
Sites, in units of the cell vectors:
Nb 0.000 0.000 0.170
Nb 0.000 0.000 0.830
Nb 0.333 0.667 0.275
Nb 0.333 0.667 0.608
Nb 0.667 0.333 0.392
Nb 0.667 0.333 0.725
Ru 0.000 0.000 0.500
W 0.333 0.667 0.949
W 0.667 0.333 0.051

Values from the calculation:
**D(E_F)**: 5.49 states/eV per cell
**DFT formation energy**: -141 meV/atom
**DFT total energy**: -10.7629 eV/atom
**Total magnetization**: 0.0 μB per cell
**Energy above the most stable polymorph in this dataset**: 0.0 meV per atom

8.
The following is a PBE calculation of an optimized crystal structure of Nb6Ru5W, from Alexandria.

a = 7.709 Å, b = 7.709 Å, c = 4.594 Å
α = 103.82°, β = 103.82°, γ = 47.79°
Sites, in units of the cell vectors:
Nb 0.080 0.581 0.355
Nb 0.249 0.751 0.000
Nb 0.419 0.920 0.645
Nb 0.581 0.080 0.355
Nb 0.751 0.249 0.000
Nb 0.920 0.419 0.645
Ru 0.161 0.161 0.127
Ru 0.339 0.339 0.870
Ru 0.500 0.500 0.500
Ru 0.661 0.661 0.130
Ru 0.839 0.839 0.873
W 0.000 0.000 0.500

Values from the calculation:
**D(E_F)**: 10.99 states/eV per cell
**DFT formation energy**: -193 meV/atom
**DFT total energy**: -10.1723 eV/atom
**Total magnetization**: 0.0 μB per cell

9.
The following is a PBE calculation of an optimized crystal structure of NbRu3W, from Alexandria.

a = 4.620 Å, b = 4.620 Å, c = 4.620 Å
α = 90.00°, β = 90.00°, γ = 90.00°
Sites, in units of the cell vectors:
Nb 0.000 0.000 0.000
Ru 0.000 0.500 0.500
Ru 0.500 0.000 0.500
Ru 0.500 0.500 0.000
W 0.500 0.500 0.500

Values from the calculation:
**D(E_F)**: 9.18 states/eV per cell
**DFT formation energy**: 1523 meV/atom
**DFT total energy**: -8.6475 eV/atom
**Total magnetization**: 0.0 μB per cell
**Energy above the most stable polymorph in this dataset**: 1250.2 meV per atom

10.
The following is a PBE calculation of an optimized crystal structure of Nb2RuW, from Alexandria.

a = 3.215 Å, b = 3.215 Å, c = 6.428 Å
α = 90.00°, β = 90.00°, γ = 90.00°
Sites, in units of the cell vectors:
Nb 0.000 0.000 0.248
Nb 0.000 0.000 0.752
Ru 0.500 0.500 0.500
W 0.500 0.500 0.000

Values from the calculation:
**D(E_F)**: 2.56 states/eV per cell
**DFT formation energy**: -180 meV/atom
**DFT total energy**: -10.7723 eV/atom
**Total magnetization**: 0.0 μB per cell
**Energy above the most stable polymorph in this dataset**: 0.0 meV per atom

11.
The following is a PBE calculation of an optimized crystal structure of NbRu2W2, from Alexandria.

a = 7.504 Å, b = 7.504 Å, c = 2.872 Å
α = 90.00°, β = 90.00°, γ = 90.00°
Sites, in units of the cell vectors:
Nb 0.000 0.000 0.000
Nb 0.500 0.500 0.000
Ru 0.133 0.367 0.000
Ru 0.367 0.867 0.000
Ru 0.633 0.133 0.000
Ru 0.867 0.633 0.000
W 0.165 0.665 0.500
W 0.335 0.165 0.500
W 0.665 0.835 0.500
W 0.835 0.335 0.500

Values from the calculation:
**D(E_F)**: 7.65 states/eV per cell
**DFT formation energy**: 122 meV/atom
**DFT total energy**: -10.7839 eV/atom
**Total magnetization**: 0.0 μB per cell
**Energy above the most stable polymorph in this dataset**: 0.0 meV per atom

12.
The following is a PBE calculation of an optimized crystal structure of Nb4RuW3, from Alexandria.

a = 3.217 Å, b = 4.579 Å, c = 9.141 Å
α = 90.00°, β = 90.00°, γ = 90.00°
Sites, in units of the cell vectors:
Nb 0.000 0.000 0.000
Nb 0.000 0.000 0.500
Nb 0.000 0.500 0.248
Nb 0.000 0.500 0.752
Ru 0.500 0.500 0.000
W 0.500 0.000 0.247
W 0.500 0.000 0.753
W 0.500 0.500 0.500

Values from the calculation:
**D(E_F)**: 3.76 states/eV per cell
**DFT formation energy**: -128 meV/atom
**DFT total energy**: -11.1798 eV/atom
**Total magnetization**: 0.0 μB per cell